1.
Ca2TlCd2 after structural relaxation, computed with PBE.

Computed properties:
Crystal system: tetragonal
Excess energy over the best structure of this formula in the dataset: 0.58 eV per formula unit
Formation energy: -0.187 eV per atom

Unit cell a=8.866 b=8.866 c=3.857 alpha=90.00 beta=90.00 gamma=90.00
Positions (direct):
Tl  0.000  0.000  0.000
Tl  0.500  0.500  0.000
Ca  0.340  0.840  0.000
Ca  0.840  0.660  0.000
Ca  0.660  0.160  0.000
Ca  0.160  0.340  0.000
Cd  0.134  0.634  0.500
Cd  0.634  0.866  0.500
Cd  0.866  0.366  0.500
Cd  0.366  0.134  0.500


2.
Ag2HgSe after structural relaxation, computed with PBE.

Computed properties:
Crystal system: tetragonal
Excess energy over the best structure of this formula in the dataset: 0.15 eV per formula unit
Uncorrected formation energy: 0.03 eV/atom

Unit cell a=5.683 b=5.683 c=8.441 alpha=70.33 beta=70.33 gamma=90.00
Positions (direct):
Se  0.500  0.500  0.000
Se  0.250  0.750  0.500
Hg  0.000  0.000  0.000
Hg  0.750  0.250  0.500
Ag  0.544  0.125  0.250
Ag  0.206  0.625  0.250
Ag  0.375  0.456  0.750
Ag  0.875  0.794  0.750


3.
Er2Ti2Ni15 after structural relaxation, computed with PBE.

Computed properties:
Crystal system: trigonal
Formation energy: -0.320 eV per atom

Unit cell a=6.318 b=6.318 c=6.318 alpha=82.13 beta=82.13 gamma=82.13
Positions (direct):
Er  0.349  0.349  0.349
Er  0.651  0.651  0.651
Ti  0.102  0.102  0.102
Ti  0.898  0.898  0.898
Ni  0.500  0.000  0.000
Ni  0.000  0.000  0.500
Ni  0.000  0.500  0.000
Ni  0.000  0.700  0.300
Ni  0.700  0.300  0.000
Ni  0.300  0.000  0.700
Ni  0.300  0.700  0.000
Ni  0.700  0.000  0.300
Ni  0.000  0.300  0.700
Ni  0.156  0.656  0.656
Ni  0.656  0.656  0.156
Ni  0.656  0.156  0.656
Ni  0.844  0.344  0.344
Ni  0.344  0.344  0.844
Ni  0.344  0.844  0.344


4.
Ac6C3S2Cl after structural relaxation, computed with PBE.

Computed properties:
Crystal system: monoclinic
Uncorrected formation energy: -0.90 eV/atom

Unit cell a=4.130 b=8.649 c=9.578 alpha=106.69 beta=102.45 gamma=90.00
Positions (direct):
Ac  0.323  0.937  0.645
Ac  0.661  0.599  0.323
Ac  0.677  0.063  0.355
Ac  0.989  0.279  0.979
Ac  0.011  0.721  0.021
Ac  0.339  0.401  0.677
C  0.500  0.500  0.000
C  0.832  0.168  0.665
C  0.168  0.832  0.335
S  0.837  0.673  0.673
S  0.163  0.327  0.327
Cl  0.500  0.000  0.000


5.
Ba2InAg2 after structural relaxation, computed with PBE.

Computed properties:
Crystal system: tetragonal
Formation energy: -0.191 eV per atom

Unit cell a=4.028 b=4.028 c=10.797 alpha=79.25 beta=79.25 gamma=90.00
Positions (direct):
Ba  0.389  0.389  0.222
Ba  0.611  0.611  0.778
Ag  0.750  0.250  0.500
Ag  0.250  0.750  0.500
In  0.000  0.000  0.000


6.
Na3Er3ThTe8 after structural relaxation, computed with PBE.

Computed properties:
Crystal system: trigonal
Uncorrected formation energy: -1.27 eV/atom

Unit cell a=8.819 b=8.819 c=9.147 alpha=118.84 beta=90.00 gamma=120.00
Positions (direct):
Na  0.000  0.000  0.000
Na  0.000  0.500  0.000
Na  0.500  0.500  0.000
Er  0.500  0.000  0.500
Er  0.500  0.500  0.500
Er  0.000  0.500  0.500
Th  0.000  0.000  0.500
Te  0.257  0.514  0.270
Te  0.743  0.486  0.730
Te  0.752  0.503  0.267
Te  0.248  0.497  0.733
Te  0.752  0.016  0.267
Te  0.248  0.984  0.733
Te  0.264  0.016  0.267
Te  0.736  0.984  0.733


7.
YSn2Rh after structural relaxation, computed with PBE.

Computed properties:
Crystal system: trigonal
Formation energy: -0.081 eV per atom

Unit cell a=3.361 b=3.361 c=10.361 alpha=80.66 beta=80.66 gamma=60.00
Positions (direct):
Y  0.000  0.000  0.000
Rh  0.500  0.500  0.500
Sn  0.103  0.103  0.692
Sn  0.897  0.897  0.308


8.
Na3In2Au after structural relaxation, computed with PBE.

Computed properties:
Crystal system: cubic
Excess energy over the best structure of this formula in the dataset: 0.00 eV per formula unit
Formation energy: -0.241 eV per atom

Unit cell a=9.636 b=9.636 c=9.636 alpha=60.00 beta=60.00 gamma=60.00
Positions (direct):
Na  0.453  0.047  0.047
Na  0.797  0.203  0.797
Na  0.453  0.453  0.047
Na  0.797  0.797  0.203
Na  0.203  0.797  0.797
Na  0.047  0.453  0.453
Na  0.047  0.047  0.453
Na  0.203  0.203  0.797
Na  0.453  0.047  0.453
Na  0.797  0.203  0.203
Na  0.047  0.453  0.047
Na  0.203  0.797  0.203
In  0.416  0.416  0.416
In  0.753  0.416  0.416
In  0.834  0.834  0.834
In  0.416  0.416  0.753
In  0.834  0.834  0.497
In  0.416  0.753  0.416
In  0.834  0.497  0.834
In  0.497  0.834  0.834
Au  0.625  0.625  0.125
Au  0.625  0.125  0.625
Au  0.125  0.625  0.625
Au  0.625  0.625  0.625


9.
Ta2ReSb after structural relaxation, computed with PBE.

Computed properties:
Crystal system: tetragonal
Uncorrected formation energy: 0.10 eV/atom

Unit cell a=3.117 b=3.117 c=7.728 alpha=90.00 beta=90.00 gamma=90.00
Positions (direct):
Re  0.500  0.500  0.250
Sb  0.500  0.500  0.750
Ta  0.000  0.000  0.037
Ta  0.000  0.000  0.463


10.
TbCe2Pr after structural relaxation, computed with PBE.

Computed properties:
Crystal system: tetragonal
Excess energy over the best structure of this formula in the dataset: 0.03 eV per formula unit
Formation energy: 0.116 eV per atom

Unit cell a=5.147 b=4.945 c=4.945 alpha=90.00 beta=90.00 gamma=90.00
Positions (direct):
Pr  0.500  0.000  0.000
Tb  0.500  0.500  0.500
Ce  0.000  0.000  0.500
Ce  0.000  0.500  0.000


11.
SrY2ScRh after structural relaxation, computed with PBE.

Computed properties:
Crystal system: tetragonal
Formation energy: -0.266 eV per atom

Unit cell a=5.517 b=5.517 c=5.192 alpha=90.00 beta=90.00 gamma=90.00
Positions (direct):
Y  0.000  0.500  0.000
Y  0.500  0.000  0.000
Sr  0.500  0.500  0.500
Rh  0.000  0.000  0.000
Sc  0.000  0.000  0.500


12.
Y5In2O after structural relaxation, computed with PBE.

Computed properties:
Crystal system: tetragonal
Excess energy over the best structure of this formula in the dataset: 1.08 eV per formula unit
Uncorrected formation energy: -0.82 eV/atom

Unit cell a=6.858 b=6.858 c=6.755 alpha=120.51 beta=120.51 gamma=90.00
Positions (direct):
Y  0.759  0.250  0.009
Y  0.250  0.250  0.009
Y  0.759  0.759  0.009
Y  0.250  0.759  0.009
Y  0.753  0.753  0.506
In  0.254  0.753  0.507
In  0.754  0.254  0.507
O  0.999  0.999  0.999